# 1
# LiEr2CdAu4

A relaxed structure of LiEr2CdAu4 (PBE, Alexandria via LeMat-Bulk).

Calculated values
- Formation energy from the elements: -700 meV/atom

a b c (Å): 8.407 8.407 8.407
angles (deg): 33.72 33.72 33.72
Fractional coordinates of all 8 atoms:
Li 0.000 0.000 0.000
Er 0.248 0.248 0.248
Er 0.752 0.752 0.752
Cd 0.500 0.500 0.500
Au 0.120 0.120 0.120
Au 0.371 0.371 0.371
Au 0.629 0.629 0.629
Au 0.880 0.880 0.880



# 2
# ErLuCdAu

A relaxed structure of ErLuCdAu (PBE, Alexandria via LeMat-Bulk).

Calculated values
- Formation energy from the elements: -573 meV/atom

a b c (Å): 7.229 7.229 7.229
angles (deg): 90.00 90.00 90.00
Fractional coordinates of all 16 atoms:
Er 0.000 0.000 0.000
Er 0.000 0.500 0.500
Er 0.500 0.000 0.500
Er 0.500 0.500 0.000
Lu 0.000 0.000 0.500
Lu 0.000 0.500 0.000
Lu 0.500 0.000 0.000
Lu 0.500 0.500 0.500
Cd 0.250 0.250 0.750
Cd 0.250 0.750 0.250
Cd 0.750 0.250 0.250
Cd 0.750 0.750 0.750
Au 0.250 0.250 0.250
Au 0.250 0.750 0.750
Au 0.750 0.250 0.750
Au 0.750 0.750 0.250



| no. | calculated total energy (eV per atom) |
| --- | --- |
| 1 | -3.833 |
| 2 | -3.892 |